! FeIrRu2 | Alexandria via LeMat-Bulk | GGA-PBE | optimized geometry; values from VASP
! Symmetry: No. 65
! E_form, meV per atom: 75
! D(E_F), states/eV/cell: 4.77
! Volume, Å³/cell: 55
&SYSTEM
  ibrav = 0, nat = 4, ntyp = 3
/
ATOMIC_SPECIES
Fe 55.84 Fe.upf
Ir 192.22 Ir.upf
Ru 101.07 Ru.upf
CELL_PARAMETERS angstrom
2.674 -3.779 0.000
2.674 3.779 0.000
0.000 0.000 2.697
ATOMIC_POSITIONS angstrom
Fe 0.000 0.000 0.000
Ir 2.674 0.000 0.000
Ru 1.337 1.890 1.349
Ru 1.337 -1.890 1.349